PmPr4Dy5 (GGA-PBE, relaxed); V = 350.8 Å³ per cell; ΔE to the lowest computed polymorph = 0.173 eV/atom; energy of formation = 0.19 eV per atom; total magnetic moment = 0.00 μB/atom
1.0
3.561 0.000 0.000
1.774 8.655 0.000
0.003 0.028 11.382
Pm Pr Dy
1 4 5
direct
0.000 0.000 0.000
0.162 0.684 0.250
0.470 0.065 0.252
0.530 0.935 0.748
0.838 0.316 0.750
0.000 0.000 0.500
0.324 0.348 0.051
0.326 0.346 0.452
0.674 0.654 0.548
0.676 0.652 0.949

PrMn2GeN (GGA-PBE, relaxed); V = 149.5 Å³ per cell; ΔE_f (raw) = -0.64 eV per atom; total magnetic moment = 0.59 μB/atom
1.0
1.904 -5.437 0.000
1.904 5.437 0.000
0.000 0.000 7.218
Pr Mn Ge N
2 4 2 2
direct
0.044 0.956 0.750
0.956 0.044 0.250
0.336 0.664 0.558
0.336 0.664 0.942
0.664 0.336 0.058
0.664 0.336 0.442
0.233 0.767 0.250
0.767 0.233 0.750
0.500 0.500 0.000
0.500 0.500 0.500

Nd6As2S3 (GGA-PBE, relaxed); V = 297.1 Å³ per cell; ΔE_f (raw) = -1.59 eV per atom; total magnetic moment = 0.00 μB/atom
1.0
7.005 0.000 0.000
-3.502 6.066 0.000
0.000 0.000 6.993
Nd As S
6 2 3
direct
0.000 0.331 0.251
0.000 0.669 0.749
0.331 0.000 0.251
0.331 0.331 0.749
0.669 0.000 0.749
0.669 0.669 0.251
0.333 0.667 0.000
0.667 0.333 0.000
0.000 0.000 0.000
0.333 0.667 0.500
0.667 0.333 0.500

In2SiOs (GGA-PBE, relaxed); V = 166.6 Å³ per cell; ΔE_f (raw) = 0.28 eV per atom; total magnetic moment = 0.00 μB/atom
1.0
2.984 0.000 0.000
0.000 4.614 0.000
0.000 0.000 12.099
In Si Os
4 2 2
direct
0.000 0.000 0.000
0.000 0.500 0.194
0.500 0.000 0.694
0.500 0.500 0.500
0.000 0.000 0.371
0.500 0.500 0.871
0.000 0.500 0.714
0.500 0.000 0.214

TiHIrRh2 (GGA-PBE, relaxed); V = 60.0 Å³ per cell; ΔE to the lowest computed polymorph = 0.000 eV/atom; total magnetic moment = 0.00 μB/atom
1.0
3.907 0.000 0.000
0.000 3.907 0.000
0.000 0.000 3.932
Ti H Ir Rh
1 1 1 2
direct
0.000 0.000 0.000
0.500 0.500 0.500
0.500 0.500 0.000
0.000 0.500 0.500
0.500 0.000 0.500

KNd3Ag2Te6 (GGA-PBE, relaxed); V = 462.6 Å³ per cell; ΔE_f (raw) = -1.06 eV per atom; total magnetic moment = 0.00 μB/atom
1.0
10.588 -2.311 0.000
10.588 2.311 0.000
-3.312 0.000 9.453
K Nd Ag Te
1 3 2 6
direct
0.000 0.000 0.000
0.000 0.000 0.500
0.327 0.327 0.159
0.673 0.673 0.841
0.386 0.386 0.529
0.614 0.614 0.471
0.169 0.169 0.607
0.172 0.172 0.055
0.490 0.490 0.267
0.510 0.510 0.733
0.828 0.828 0.945
0.831 0.831 0.393